(1)
VASP calculation (PBE) on a relaxed Tl3Pt2Se4 crystal.

Cell and atoms, written as CIF:
```
data_Tl3Pt2Se4
_chemical_formula_sum 'Tl12 Pt8 Se16'
_cell_length_a 14.4451
_cell_length_b 11.1949
_cell_length_c 6.4605
_cell_angle_alpha 90.00
_cell_angle_beta 96.15
_cell_angle_gamma 90.00
_space_group_name_H-M_alt 'C 1 2/c 1'
_space_group_IT_number 15
loop_
_space_group_symop_operation_xyz
'x,y,z'
'-x,-y,-z'
'-x,y,-z+1/2'
'x,-y,z+1/2'
'x+1/2,y+1/2,z'
'-x+1/2,-y+1/2,-z'
'-x+1/2,y+1/2,-z+1/2'
'x+1/2,-y+1/2,z+1/2'
loop_
_atom_site_label
_atom_site_type_symbol
_atom_site_fract_x
_atom_site_fract_y
_atom_site_fract_z
Tl1 Tl 0.0000 0.1984 0.2500
Tl2 Tl 0.1546 0.4380 0.0561
Pt1 Pt 0.1780 0.1153 0.5661
Se1 Se 0.1028 0.0579 0.8770
Se2 Se 0.2471 0.2043 0.2650
```

* formation energy (no corrections): -2.83 eV per formula unit
* density of states at the Fermi level: 3.1 states/eV/f.u.
* size of the total moment: 0.000 μB/f.u.



(2)
VASP calculation (PBE) on a relaxed TlPt2Se crystal.

Cell and atoms, written as CIF:
```
data_TlPt2Se
_chemical_formula_sum 'Tl1 Pt2 Se1'
_cell_length_a 4.4972
_cell_length_b 4.5730
_cell_length_c 4.5830
_cell_angle_alpha 90.00
_cell_angle_beta 95.93
_cell_angle_gamma 90.00
_space_group_name_H-M_alt 'P 1 m 1'
_space_group_IT_number 6
loop_
_space_group_symop_operation_xyz
'x,y,z'
'x,-y,z'
loop_
_atom_site_label
_atom_site_type_symbol
_atom_site_fract_x
_atom_site_fract_y
_atom_site_fract_z
Tl1 Tl 0.0000 0.0000 0.0000
Pt1 Pt 0.3695 0.5000 0.1102
Pt2 Pt 0.5762 0.0000 0.4217
Se1 Se 0.5601 0.5000 0.6323
```

* formation energy (no corrections): -0.07 eV per formula unit
* density of states at the Fermi level: 3.0 states/eV/f.u.
* size of the total moment: 0.000 μB/f.u.



(3)
VASP calculation (PBE) on a relaxed Tl2PtSe crystal.

Cell and atoms, written as CIF:
```
data_Tl2PtSe
_chemical_formula_sum 'Tl4 Pt2 Se2'
_cell_length_a 7.9146
_cell_length_b 7.8788
_cell_length_c 2.9961
_cell_angle_alpha 90.00
_cell_angle_beta 92.16
_cell_angle_gamma 90.00
_space_group_name_H-M_alt 'C 1 2/m 1'
_space_group_IT_number 12
loop_
_space_group_symop_operation_xyz
'x,y,z'
'-x,-y,-z'
'-x,y,-z'
'x,-y,z'
'x+1/2,y+1/2,z'
'-x+1/2,-y+1/2,-z'
'-x+1/2,y+1/2,-z'
'x+1/2,-y+1/2,z'
loop_
_atom_site_label
_atom_site_type_symbol
_atom_site_fract_x
_atom_site_fract_y
_atom_site_fract_z
Tl1 Tl 0.2500 0.2500 0.0000
Pt1 Pt 0.0000 0.0000 0.5000
Se1 Se 0.0000 0.5000 0.5000
```

* formation energy (no corrections): 0.50 eV per formula unit
* ΔE to the lowest computed polymorph: 279 meV/atom
* density of states at the Fermi level: 2.1 states/eV/f.u.
* size of the total moment: 0.000 μB/f.u.



(4)
VASP calculation (PBE) on a relaxed TlPtSe2 crystal.

Cell and atoms, written as CIF:
```
data_TlPtSe2
_chemical_formula_sum 'Tl2 Pt2 Se4'
_cell_length_a 3.7857
_cell_length_b 7.8631
_cell_length_c 8.0810
_cell_angle_alpha 90.00
_cell_angle_beta 90.00
_cell_angle_gamma 90.00
_space_group_name_H-M_alt 'C m m m'
_space_group_IT_number 65
_space_group_name_Hall '-C 2 2'
loop_
_atom_site_label
_atom_site_type_symbol
_atom_site_fract_x
_atom_site_fract_y
_atom_site_fract_z
Tl1 Tl 0.0000 0.0000 0.0000
Pt1 Pt 0.0000 0.0000 0.5000
Se1 Se 0.0000 0.5000 0.3075
```

* formation energy (no corrections): -0.32 eV per formula unit
* ΔE to the lowest computed polymorph: 226 meV/atom
* density of states at the Fermi level: 2.9 states/eV/f.u.
* size of the total moment: 0.000 μB/f.u.



(5)
VASP calculation (PBE) on a relaxed Tl2PtSe crystal.

Cell and atoms, written as CIF:
```
data_Tl2PtSe
_chemical_formula_sum 'Tl8 Pt4 Se4'
_cell_length_a 6.1623
_cell_length_b 6.1623
_cell_length_c 13.8944
_cell_angle_alpha 90.00
_cell_angle_beta 90.00
_cell_angle_gamma 90.00
_space_group_name_H-M_alt 'I -4 2 d'
_space_group_IT_number 122
_space_group_name_Hall 'I -4 2bw'
loop_
_atom_site_label
_atom_site_type_symbol
_atom_site_fract_x
_atom_site_fract_y
_atom_site_fract_z
Tl1 Tl 0.2208 0.2500 0.1250
Pt1 Pt 0.0000 0.0000 0.0000
Se1 Se 0.0000 0.0000 0.5000
```

* formation energy (no corrections): 0.25 eV per formula unit
* ΔE to the lowest computed polymorph: 218 meV/atom
* density of states at the Fermi level: 1.4 states/eV/f.u.
* size of the total moment: 0.000 μB/f.u.



(6)
VASP calculation (PBE) on a relaxed Tl2PtSe crystal.

Cell and atoms, written as CIF:
```
data_Tl2PtSe
_chemical_formula_sum 'Tl2 Pt1 Se1'
_cell_length_a 4.5076
_cell_length_b 4.5675
_cell_length_c 5.7456
_cell_angle_alpha 90.00
_cell_angle_beta 113.00
_cell_angle_gamma 90.00
_space_group_name_H-M_alt 'P 1 m 1'
_space_group_IT_number 6
loop_
_space_group_symop_operation_xyz
'x,y,z'
'x,-y,z'
loop_
_atom_site_label
_atom_site_type_symbol
_atom_site_fract_x
_atom_site_fract_y
_atom_site_fract_z
Tl1 Tl 0.0000 0.0000 0.0000
Tl2 Tl 0.3154 0.5000 0.6346
Pt1 Pt 0.6097 0.5000 0.2210
Se1 Se 0.6966 0.0000 0.3944
```

* formation energy (no corrections): -0.62 eV per formula unit
* ΔE to the lowest computed polymorph: 0 meV/atom
* density of states at the Fermi level: 1.5 states/eV/f.u.
* size of the total moment: 0.000 μB/f.u.